# PBE-GGA K2YRe, relaxed
data_K2YRe
_chemical_formula_sum 'K2 Y1 Re1'
_symmetry_space_group_name_H-M 'P 4/m m m'
_symmetry_Int_Tables_number 123
_symmetry_space_group_name_Hall '-P 4 2'
_cell_length_a 2.970
_cell_length_b 2.970
_cell_length_c 13.006
_cell_angle_alpha 90.00
_cell_angle_beta 90.00
_cell_angle_gamma 90.00
loop_
_atom_site_label
_atom_site_type_symbol
_atom_site_fract_x
_atom_site_fract_y
_atom_site_fract_z
K1 K 0.000 0.000 0.212
Y1 Y 0.500 0.500 0.500
Re1 Re 0.500 0.500 0.000
# E in eV per cell: -15.697
# Formation energy from the elements in kJ per mole of atoms: 130.5
# Volume in A^3/atom: 28.7

# PBE-GGA La2Pm3PuP6, relaxed
data_La2Pm3PuP6
_chemical_formula_sum 'La4 Pm6 Pu2 P12'
_symmetry_space_group_name_H-M 'C 1 2/m 1'
_symmetry_Int_Tables_number 12
_cell_length_a 18.104
_cell_length_b 4.160
_cell_length_c 8.317
_cell_angle_alpha 90.00
_cell_angle_beta 103.27
_cell_angle_gamma 90.00
loop_
_symmetry_equiv_pos_as_xyz
'x,y,z'
'-x,-y,-z'
'-x,y,-z'
'x,-y,z'
'x+1/2,y+1/2,z'
'-x+1/2,-y+1/2,-z'
'-x+1/2,y+1/2,-z'
'x+1/2,-y+1/2,z'
loop_
_atom_site_label
_atom_site_type_symbol
_atom_site_fract_x
_atom_site_fract_y
_atom_site_fract_z
La1 La 0.166 0.000 0.333
Pm1 Pm 0.000 0.500 0.500
Pm2 Pm 0.167 0.000 0.834
Pu1 Pu 0.000 0.500 0.000
P1 P 0.002 0.000 0.761
P2 P 0.163 0.500 0.077
P3 P 0.165 0.500 0.587
# E in eV per cell: -177.242
# Formation energy from the elements in kJ per mole of atoms: -142.5
# Volume in A^3/atom: 25.4

# PBE-GGA Zn3P, relaxed
data_Zn3P
_chemical_formula_sum 'Zn12 P4'
_symmetry_space_group_name_H-M 'P n m a'
_symmetry_Int_Tables_number 62
_cell_length_a 5.979
_cell_length_b 7.563
_cell_length_c 5.856
_cell_angle_alpha 90.00
_cell_angle_beta 90.00
_cell_angle_gamma 90.00
loop_
_symmetry_equiv_pos_as_xyz
'x,y,z'
'-x,-y,-z'
'-x+1/2,-y,z+1/2'
'x+1/2,y,-z+1/2'
'x+1/2,-y+1/2,-z+1/2'
'-x+1/2,y+1/2,z+1/2'
'-x,y+1/2,-z'
'x,-y+1/2,z'
loop_
_atom_site_label
_atom_site_type_symbol
_atom_site_fract_x
_atom_site_fract_y
_atom_site_fract_z
Zn1 Zn 0.050 0.250 0.056
Zn2 Zn 0.170 0.559 0.308
P1 P 0.136 0.250 0.471
# E in eV per cell: -34.801
# Formation energy from the elements in kJ per mole of atoms: 12.8
# Volume in A^3/atom: 16.6

# PBE-GGA K2NaCu2I6, relaxed
data_K2NaCu2I6
_chemical_formula_sum 'K4 Na2 Cu4 I12'
_symmetry_space_group_name_H-M 'C 1 2/m 1'
_symmetry_Int_Tables_number 12
_cell_length_a 14.323
_cell_length_b 7.936
_cell_length_c 9.204
_cell_angle_alpha 90.00
_cell_angle_beta 118.21
_cell_angle_gamma 90.00
loop_
_symmetry_equiv_pos_as_xyz
'x,y,z'
'-x,-y,-z'
'-x,y,-z'
'x,-y,z'
'x+1/2,y+1/2,z'
'-x+1/2,-y+1/2,-z'
'-x+1/2,y+1/2,-z'
'x+1/2,-y+1/2,z'
loop_
_atom_site_label
_atom_site_type_symbol
_atom_site_fract_x
_atom_site_fract_y
_atom_site_fract_z
K1 K 0.213 0.000 0.196
Na1 Na 0.000 0.000 0.500
Cu1 Cu 0.048 0.500 0.257
I1 I 0.069 0.244 0.812
I2 I 0.245 0.500 0.396
# E in eV per cell: -59.126
# Volume in A^3/atom: 41.9
# Raw formation energy in eV per atom: -0.78

# PBE-GGA TbDy7Ho12, relaxed
data_TbDy7Ho12
_chemical_formula_sum 'Tb3 Dy21 Ho36'
_symmetry_space_group_name_H-M 'R -3'
_symmetry_Int_Tables_number 148
_symmetry_space_group_name_Hall '-R 3'
_cell_length_a 18.3937
_cell_length_b 18.3937
_cell_length_c 6.6596
_cell_angle_alpha 90.00
_cell_angle_beta 90.00
_cell_angle_gamma 120.00
loop_
_atom_site_label
_atom_site_type_symbol
_atom_site_fract_x
_atom_site_fract_y
_atom_site_fract_z
Tb1 Tb 0.0000 0.0000 0.0000
Dy1 Dy 0.0000 0.0000 0.5000
Dy2 Dy 0.0079 0.8514 0.7781
Ho1 Ho 0.0006 0.7869 0.2817
Ho2 Ho 0.0065 0.4721 0.7396
# E in eV per cell: -255.122
# Formation energy from the elements in kJ per mole of atoms: 32.5
# Volume in A^3/atom: 32.5

# PBE-GGA BaLiCdAu2, relaxed
data_BaLiCdAu2
_chemical_formula_sum 'Ba1 Li1 Cd1 Au2'
_symmetry_space_group_name_H-M 'P 4/m m m'
_symmetry_Int_Tables_number 123
_symmetry_space_group_name_Hall '-P 4 2'
_cell_length_a 5.075
_cell_length_b 5.075
_cell_length_c 4.986
_cell_angle_alpha 90.00
_cell_angle_beta 90.00
_cell_angle_gamma 90.00
loop_
_atom_site_label
_atom_site_type_symbol
_atom_site_fract_x
_atom_site_fract_y
_atom_site_fract_z
Ba1 Ba 0.000 0.000 0.000
Li1 Li 0.500 0.500 0.500
Cd1 Cd 0.500 0.500 0.000
Au1 Au 0.000 0.500 0.500
# E in eV per cell: -13.212
# Formation energy from the elements in kJ per mole of atoms: -36.8
# Volume in A^3/atom: 25.7

# PBE-GGA Er4Si2N, relaxed
data_Er4Si2N
_chemical_formula_sum 'Er8 Si4 N2'
_symmetry_space_group_name_H-M 'I 4/m m m'
_symmetry_Int_Tables_number 139
_symmetry_space_group_name_Hall '-I 4 2'
_cell_length_a 4.518
_cell_length_b 4.518
_cell_length_c 15.033
_cell_angle_alpha 90.00
_cell_angle_beta 90.00
_cell_angle_gamma 90.00
loop_
_atom_site_label
_atom_site_type_symbol
_atom_site_fract_x
_atom_site_fract_y
_atom_site_fract_z
Er1 Er 0.000 0.000 0.170
Er2 Er 0.000 0.500 0.000
Si1 Si 0.000 0.000 0.363
N1 N 0.000 0.000 0.000
# E in eV per cell: -87.520
# Volume in A^3/atom: 21.9
# Raw formation energy in eV per atom: -0.91

# PBE-GGA KSrIn3, relaxed
data_KSrIn3
_chemical_formula_sum 'K1 Sr1 In3'
_symmetry_space_group_name_H-M 'P m -3 m'
_symmetry_Int_Tables_number 221
_symmetry_space_group_name_Hall '-P 4 2 3'
_cell_length_a 5.950
_cell_length_b 5.950
_cell_length_c 5.950
_cell_angle_alpha 90.00
_cell_angle_beta 90.00
_cell_angle_gamma 90.00
loop_
_atom_site_label
_atom_site_type_symbol
_atom_site_fract_x
_atom_site_fract_y
_atom_site_fract_z
K1 K 0.000 0.000 0.000
Sr1 Sr 0.500 0.500 0.500
In1 In 0.000 0.000 0.500
# E in eV per cell: -8.678
# Formation energy from the elements in kJ per mole of atoms: 44.7
# Volume in A^3/atom: 42.1